VBiF2 | PBE with a Hubbard U | optimized geometry

**Distance to the lowest polymorph of the same formula**: 0.0 kJ/mol of formula units
**Final energy**: -22.133 eV/cell
**Space-group type**: R-3m

a b c (Å): 9.717 9.717 9.717
angles (deg): 19.77 19.77 19.77
Last column: magnetic moment on the atom in μB.
Atoms (fractional coordinates):
V 0.500 0.500 0.500  2.77
F 0.866 0.866 0.866  0.01
Bi 0.000 0.000 0.000  0.17
F 0.134 0.134 0.134  0.01